## La2BeCdRu (PBE)

Data for a relaxed La2BeCdRu crystal.

Results
calculated volume = 26.763 Å³ per atom
Fermi-level density of states = 4.65 states/eV/f.u.
calculated density = 6.21 g cm⁻³
ΔH_f (0 K) = -0.0978 eV per atom

Lattice parameters (Å, degrees): 5.4751 5.4751 4.4640 90.00 90.00 90.00
Last column: nearest neighbours and their distance in Å.
Fractional coordinates of all 5 atoms:
La: 0.0000 0.5000 0.0000  2 Ru 2.74
La: 0.5000 0.0000 0.0000  2 Ru 2.74
Be: 0.0000 0.0000 0.5000  2 Ru 2.23
Cd: 0.5000 0.5000 0.5000  8 La 3.53, 4 Be 3.87
Ru: 0.0000 0.0000 0.0000  2 Be 2.23